No. 1
This record from the Alexandria database describes a crystal of SrAsPt2 relaxed with PBEsol. The functional is meta-GGA SCAN.

a b c (Å): 5.794 5.794 2.892
angles (deg): 104.26 104.26 119.18
Positions (direct):
Sr: 0.000 0.000 0.000
As: 0.500 0.500 0.000
Pt: 0.000 0.500 0.500
Pt: 0.500 0.000 0.500

Properties
Space-group type   No. 12
Magnetization   0.00 μB/f.u.
Formation energy from the elements   -0.73 eV per formula unit
E_tot   -183.58 eV for the cell shown
Density   12.39 g/cm³


No. 2
This record from the Alexandria database describes a crystal of YCoW2 relaxed with PBEsol. The functional is meta-GGA SCAN.

a b c (Å): 3.733 3.733 4.803
angles (deg): 90.00 90.00 90.00
Positions (direct):
Y: 0.000 0.000 0.000
Co: 0.500 0.500 0.000
W: 0.000 0.500 0.500
W: 0.500 0.000 0.500

Properties
Space-group type   No. 123
Magnetization   0.01 μB/f.u.
Formation energy from the elements   2.46 eV per formula unit
Distance to the lowest polymorph of the same formula   50.2 meV per atom
E_tot   -182.06 eV for the cell shown
Density   12.79 g/cm³


What is the formula in the second record? YCoW2


Please write out number 2 again, unchanged.
This record from the Alexandria database describes a crystal of YCoW2 relaxed with PBEsol. The functional is meta-GGA SCAN.

a b c (Å): 3.733 3.733 4.803
angles (deg): 90.00 90.00 90.00
Positions (direct):
Y: 0.000 0.000 0.000
Co: 0.500 0.500 0.000
W: 0.000 0.500 0.500
W: 0.500 0.000 0.500

Properties
Space-group type   No. 123
Magnetization   0.01 μB/f.u.
Formation energy from the elements   2.46 eV per formula unit
Distance to the lowest polymorph of the same formula   50.2 meV per atom
E_tot   -182.06 eV for the cell shown
Density   12.79 g/cm³


What did the first record say?
This record from the Alexandria database describes a crystal of SrAsPt2 relaxed with PBEsol. The functional is meta-GGA SCAN.

a b c (Å): 5.794 5.794 2.892
angles (deg): 104.26 104.26 119.18
Positions (direct):
Sr: 0.000 0.000 0.000
As: 0.500 0.500 0.000
Pt: 0.000 0.500 0.500
Pt: 0.500 0.000 0.500

Properties
Space-group type   No. 12
Magnetization   0.00 μB/f.u.
Formation energy from the elements   -0.73 eV per formula unit
E_tot   -183.58 eV for the cell shown
Density   12.39 g/cm³


formation energy from the elements of number 1 (SrAsPt2)? -0.73 eV per formula unit